Record 1
DFT (PBE) results for a geometry-optimized TmHf2V structure.

Values from the calculation:
- magnetic moment (μB/f.u.) = 0.00
- crystal system = tetragonal
- energy (eV per atom) = -8.196
- energy above the most stable polymorph in this dataset (eV per atom) = 0.0000

Cell: 3.3783 3.3783 7.6384 Å, 90.00 90.00 90.00°
With the nearest neighbours (Å) after each atom.
Fractional positions:
Hf 0.0000 0.0000 0.1979  4 V 2.83, 1 Hf 3.02
Hf 0.0000 0.0000 0.8021  4 V 2.83, 1 Hf 3.02
Tm 0.5000 0.5000 0.5000  8 Hf 3.32, 4 Tm 3.38
V 0.5000 0.5000 0.0000  8 Hf 2.83

---

Record 2
DFT (PBE) results for a geometry-optimized TmHf2V structure.

Values from the calculation:
- magnetic moment (μB/f.u.) = 1.06
- crystal system = trigonal
- energy (eV per atom) = -7.965
- energy above the most stable polymorph in this dataset (eV per atom) = 0.2303

Cell: 3.1506 3.1506 10.6803 Å, 81.52 81.52 60.00°
With the nearest neighbours (Å) after each atom.
Fractional positions:
Hf 0.9008 0.9008 0.2976  3 V 2.80, 1 Tm 3.13
Hf 0.0992 0.0992 0.7024  3 V 2.80, 1 Tm 3.13
Tm 0.0000 0.0000 0.0000  2 Hf 3.13, 6 Tm 3.15
V 0.5000 0.5000 0.5000  6 Hf 2.80

---

Record 3
DFT (PBE) results for a geometry-optimized TmHfV structure.

Values from the calculation:
- magnetic moment (μB/f.u.) = 1.94
- crystal system = trigonal
- energy (eV per atom) = -7.481

Cell: 3.2496 3.2496 7.5064 Å, 77.50 77.50 60.00°
With the nearest neighbours (Å) after each atom.
Fractional positions:
Hf 0.1186 0.1186 0.6443  3 V 2.78
V 0.5458 0.5458 0.3627  3 Hf 2.78, 3 Tm 3.02
Tm 0.3210 0.3210 0.0369  3 V 3.02, 6 Tm 3.25

---

- magnetic moment of number 1 (TmHf2V)?
  0.00 μB/f.u.

---

- Look up the energy of the second one.
  -7.965 eV per atom

---

- The highest energy belongs to which entry?
  TmHfV

---

- Which of these has the lowest magnetic moment?
  number 1